1.
! GGA-PBE Cd3BiBr, relaxed; values from VASP
&SYSTEM
  ibrav = 0, nat = 5, ntyp = 3
/
ATOMIC_SPECIES
Cd 112.41 Cd.upf
Br 79.90 Br.upf
Bi 208.98 Bi.upf
ATOMIC_POSITIONS crystal
Cd 0.500 0.000 0.000
Cd 0.000 0.500 0.000
Cd 0.000 0.000 0.500
Br 0.000 0.000 0.000
Bi 0.500 0.500 0.500
CELL_PARAMETERS angstrom
-1.831 -2.131 -4.747
-4.380 -2.085 2.626
-2.809 4.641 -1.000
! - offset from the most stable computed form (meV per atom) = 496
! - VASP energy (eV per cell) = -6.205
! - M_tot (Bohr magnetons per cell) = 0.00
! - formation energy from raw total energies (eV/atom) = 0.42

2.
! GGA-PBE Ac2MnN, relaxed; values from VASP
&SYSTEM
  ibrav = 0, nat = 4, ntyp = 3
/
ATOMIC_SPECIES
Ac 227.00 Ac.upf
N 14.01 N.upf
Mn 54.94 Mn.upf
ATOMIC_POSITIONS crystal
Ac 0.887 0.887 0.340
Ac 0.113 0.113 0.660
N 0.500 0.500 0.500
Mn 0.000 0.000 0.000
CELL_PARAMETERS angstrom
3.713 0.000 0.000
1.856 3.215 0.000
1.856 1.072 9.671
! - VASP energy (eV per cell) = -25.359
! - M_tot (Bohr magnetons per cell) = 3.85
! - formation energy from raw total energies (eV/atom) = 0.09

3.
! GGA-PBE Li2CuAu5, relaxed; values from VASP
&SYSTEM
  ibrav = 0, nat = 8, ntyp = 3
/
ATOMIC_SPECIES
Li 6.94 Li.upf
Cu 63.55 Cu.upf
Au 196.97 Au.upf
ATOMIC_POSITIONS crystal
Li 0.778 0.278 0.500
Li 0.278 0.778 0.500
Cu 0.778 0.778 0.000
Au 0.278 0.278 0.500
Au 0.278 0.778 0.000
Au 0.778 0.778 0.500
Au 0.278 0.278 0.000
Au 0.778 0.278 0.000
CELL_PARAMETERS angstrom
-1.569 -0.885 -5.291
4.931 2.357 -1.168
0.137 -4.495 3.320
! - ΔE_f (meV/atom) = -305.9
! - VASP energy (eV per cell) = -26.758
! - M_tot (Bohr magnetons per cell) = 0.00

4.
! GGA-PBE GaPbF2, relaxed; values from VASP
&SYSTEM
  ibrav = 0, nat = 4, ntyp = 3
/
ATOMIC_SPECIES
F 19.00 F.upf
Pb 207.20 Pb.upf
Ga 69.72 Ga.upf
ATOMIC_POSITIONS crystal
F 0.100 0.100 0.100
F 0.900 0.900 0.900
Pb 0.000 0.000 0.000
Ga 0.500 0.500 0.500
CELL_PARAMETERS angstrom
2.010 0.000 7.873
-1.005 1.741 7.873
-1.005 -1.741 7.873
! - offset from the most stable computed form (meV per atom) = 0
! - VASP energy (eV per cell) = -16.433
! - M_tot (Bohr magnetons per cell) = 0.00
! - formation energy from raw total energies (eV/atom) = -1.49

5.
! GGA-PBE TlNiSe2, relaxed; values from VASP
&SYSTEM
  ibrav = 0, nat = 4, ntyp = 3
/
ATOMIC_SPECIES
Se 78.96 Se.upf
Tl 204.38 Tl.upf
Ni 58.69 Ni.upf
ATOMIC_POSITIONS crystal
Se 0.250 0.250 0.250
Se 0.000 0.000 0.000
Tl 0.750 0.750 0.750
Ni 0.500 0.500 0.500
CELL_PARAMETERS angstrom
4.861 0.000 0.000
2.430 4.210 0.000
2.430 1.403 3.969
! - VASP energy (eV per cell) = -13.006
! - M_tot (Bohr magnetons per cell) = 0.32
! - formation energy from raw total energies (eV/atom) = 0.53

6.
! GGA-PBE BaPtSe, relaxed; values from VASP
&SYSTEM
  ibrav = 0, nat = 6, ntyp = 3
/
ATOMIC_SPECIES
Se 78.96 Se.upf
Pt 195.08 Pt.upf
Ba 137.33 Ba.upf
ATOMIC_POSITIONS crystal
Se 0.343 0.169 0.932
Se 0.244 0.673 0.931
Pt 0.771 0.601 0.932
Pt 0.080 0.627 0.431
Ba 0.458 0.895 0.432
Ba 0.737 0.336 0.432
CELL_PARAMETERS angstrom
-2.259 0.714 -4.173
-6.909 -5.870 -0.470
-2.709 3.032 1.982
! - VASP energy (eV per cell) = -29.326
! - M_tot (Bohr magnetons per cell) = 0.00
! - formation energy from raw total energies (eV/atom) = -1.07

7.
! GGA-PBE BiSbAuI2, relaxed; values from VASP
&SYSTEM
  ibrav = 0, nat = 5, ntyp = 4
/
ATOMIC_SPECIES
Au 196.97 Au.upf
I 126.90 I.upf
Sb 121.76 Sb.upf
Bi 208.98 Bi.upf
ATOMIC_POSITIONS crystal
Au 0.500 0.500 0.500
I 0.000 0.500 0.000
I 0.500 0.000 0.000
Sb 0.000 0.000 0.500
Bi 0.000 0.000 0.000
CELL_PARAMETERS angstrom
6.021 0.000 0.000
0.000 6.021 0.000
0.000 0.000 6.281
! - offset from the most stable computed form (meV per atom) = 235
! - VASP energy (eV per cell) = -11.126
! - M_tot (Bohr magnetons per cell) = 1.14
! - formation energy from raw total energies (eV/atom) = 0.65

8.
! GGA-PBE AcCuAsH, relaxed; values from VASP
&SYSTEM
  ibrav = 0, nat = 4, ntyp = 4
/
ATOMIC_SPECIES
Ac 227.00 Ac.upf
As 74.92 As.upf
Cu 63.55 Cu.upf
H 1.01 H.upf
ATOMIC_POSITIONS crystal
Ac 0.905 0.810 0.796
As 0.572 0.144 0.322
Cu 0.239 0.477 0.253
H 0.239 0.477 0.868
CELL_PARAMETERS angstrom
4.304 0.000 0.000
-2.152 3.728 0.006
0.000 -0.008 4.517
! - offset from the most stable computed form (meV per atom) = 0
! - VASP energy (eV per cell) = -19.536
! - M_tot (Bohr magnetons per cell) = 0.00

Question: Which of these has the lowest VASP energy?
Answer: BaPtSe